This record from OQMD via LeMat-Bulk describes a relaxed structure of RbTbHg3S4. The functional is GGA-PBE. Values from VASP.

Quantum ESPRESSO input file:
```
&SYSTEM
  ibrav = 0, nat = 9, ntyp = 4
/
ATOMIC_SPECIES
S 32.06 S.upf
Hg 200.59 Hg.upf
Tb 158.93 Tb.upf
Rb 85.47 Rb.upf
CELL_PARAMETERS angstrom
6.774 0.000 0.000
0.000 6.774 0.000
0.000 0.000 6.774
ATOMIC_POSITIONS crystal
S 0.279 0.279 0.279
S 0.721 0.279 0.721
S 0.279 0.721 0.721
S 0.721 0.721 0.279
Hg 0.500 0.000 0.500
Hg 0.500 0.500 0.000
Hg 0.000 0.500 0.500
Tb 0.500 0.500 0.500
Rb 0.000 0.000 0.000
```

Results
Total magnetic moment in μB per cell: 0.0
Space group: P-43m, No. 215
Energy above the lowest structure with this stoichiometry in meV per atom: 36